Model 1:
Below is a geometry-optimized La2YW structure, with properties calculated at the PBE-GGA level.

Cell: 3.2447 4.9840 6.7709 Å, 90.00 90.00 90.00°
Space group Pmmm (No. 47)
Asymmetric unit:
La (0.0000, 0.0000, 0.2196)
Y (0.5000, 0.5000, 0.5000)
W (0.5000, 0.5000, 0.0000)

Magnetic moment   0.000 μB per atom
Crystal system   orthorhombic

Model 2:
Below is a geometry-optimized La2YW structure, with properties calculated at the PBE-GGA level.

Cell: 3.5584 3.5584 9.0919 Å, 90.00 90.00 90.00°
Space group P4mm (No. 99)
Asymmetric unit:
La (0.0000, 0.0000, 0.0000)
La (0.5000, 0.5000, 0.2946)
Y (0.5000, 0.5000, 0.6797)
W (0.0000, 0.0000, 0.4860)

Magnetic moment   0.000 μB per atom
Crystal system   tetragonal

Quick one: most stable of them? model 2